DFT (PBE-GGA) results for a relaxed structure of PmTmSn2.

a b c (Å): 4.0116 4.0116 6.7893
angles (deg): 90.00 90.00 90.00
Space group P4/mmm (No. 123)
Unique sites:
Pm 0.0000 0.0000 0.0000
Tm 0.0000 0.0000 0.5000
Sn 0.5000 0.5000 0.2686

Summary:
Total magnetization = 0.000 μB per atom
Formation enthalpy at 0 K = -0.594 eV per atom
D(E_F) = 3.7 states/eV/cell

=====

DFT (PBE-GGA) results for a relaxed structure of Pa3RuSe2.

a b c (Å): 4.0419 4.0419 17.1615
angles (deg): 90.00 90.00 90.00
Space group I4/mmm (No. 139)
Unique sites:
Pa 0.0000 0.0000 0.0000
Pa 0.0000 0.0000 0.3427
Ru 0.0000 0.0000 0.5000
Se 0.0000 0.0000 0.1726

Summary:
Raw formation energy = -5.57 eV/f.u.
Total magnetization = 0.000 μB per atom
D(E_F) = 20.3 states/eV/cell

=====

Question: The lowest D(E_F) belongs to which entry?
Answer: PmTmSn2

=====

Repeat the second record exactly.
DFT (PBE-GGA) results for a relaxed structure of Pa3RuSe2.

a b c (Å): 4.0419 4.0419 17.1615
angles (deg): 90.00 90.00 90.00
Space group I4/mmm (No. 139)
Unique sites:
Pa 0.0000 0.0000 0.0000
Pa 0.0000 0.0000 0.3427
Ru 0.0000 0.0000 0.5000
Se 0.0000 0.0000 0.1726

Summary:
Raw formation energy = -5.57 eV/f.u.
Total magnetization = 0.000 μB per atom
D(E_F) = 20.3 states/eV/cell

=====

Please write out number 2 again, unchanged.
DFT (PBE-GGA) results for a relaxed structure of Pa3RuSe2.

a b c (Å): 4.0419 4.0419 17.1615
angles (deg): 90.00 90.00 90.00
Space group I4/mmm (No. 139)
Unique sites:
Pa 0.0000 0.0000 0.0000
Pa 0.0000 0.0000 0.3427
Ru 0.0000 0.0000 0.5000
Se 0.0000 0.0000 0.1726

Summary:
Raw formation energy = -5.57 eV/f.u.
Total magnetization = 0.000 μB per atom
D(E_F) = 20.3 states/eV/cell

=====

Question: total magnetization of number 1 (PmTmSn2)?
Answer: 0.000 μB per atom